Entry 1:
Compound: Sr3Pa3SiN8
Source: Alexandria
Functional: GGA-PBE
Structure: relaxed

Summary:
crystal system: monoclinic
SG: No. 12
calculated total energy: -0.594 Ry per atom
N(E_F): 5.18 states/eV/f.u.

a b c (Å): 6.8856 6.8856 7.2667
angles (deg): 118.72 118.72 62.63
Fractional positions:
Sr  0.0000  0.0000  0.0000
Sr  0.0000  0.5000  0.0000
Sr  0.5000  0.0000  0.0000
Pa  0.0000  0.5000  0.5000
Pa  0.5000  0.0000  0.5000
Pa  0.5000  0.5000  0.5000
Si  0.0000  0.0000  0.5000
N  0.1838  0.1838  0.6694
N  0.2323  0.7153  0.6892
N  0.2641  0.2641  0.2943
N  0.2847  0.7677  0.3108
N  0.7153  0.2323  0.6892
N  0.7359  0.7359  0.7057
N  0.7677  0.2847  0.3108
N  0.8162  0.8162  0.3306


Entry 2:
Compound: Cu2PtPb
Source: Alexandria
Functional: GGA-PBE
Structure: relaxed

Summary:
energy of formation: 0.247 eV/atom
crystal system: tetragonal
SG: No. 122
N(E_F): 1.54 states/eV/f.u.

a b c (Å): 5.8443 5.8443 5.8443
angles (deg): 102.14 102.14 125.41
Fractional positions:
Cu  0.1015  0.6250  0.9765
Cu  0.3750  0.3515  0.4765
Cu  0.6485  0.1250  0.0235
Cu  0.8750  0.8985  0.5235
Pt  0.0000  0.0000  0.0000
Pt  0.7500  0.2500  0.5000
Pb  0.2500  0.7500  0.5000
Pb  0.5000  0.5000  0.0000


Entry 3:
Compound: Cd2Ag3Au8
Source: Alexandria
Functional: GGA-PBE
Structure: relaxed

Summary:
energy of formation: -0.032 eV/atom
crystal system: monoclinic
energy relative to the lowest polymorph listed for this composition: 0.00 kcal/mol of atoms
SG: No. 10
N(E_F): 2.47 states/eV/f.u.

a b c (Å): 7.6041 4.0834 9.4031
angles (deg): 90.00 113.25 90.00
Fractional positions:
Cd  0.2453  0.0000  0.4905
Cd  0.7547  0.0000  0.5095
Ag  0.0000  0.0000  0.0000
Ag  0.2870  0.5000  0.0001
Ag  0.7130  0.5000  0.9999
Au  0.1218  0.5000  0.2434
Au  0.1333  0.0000  0.7526
Au  0.3641  0.5000  0.7266
Au  0.3804  0.0000  0.2468
Au  0.6196  0.0000  0.7532
Au  0.6359  0.5000  0.2734
Au  0.8667  0.0000  0.2474
Au  0.8782  0.5000  0.7566


Entry 4:
Compound: Na4Hg2Sb
Source: Alexandria
Functional: GGA-PBE
Structure: relaxed

Summary:
crystal system: tetragonal
energy relative to the lowest polymorph listed for this composition: 2.05 kcal/mol of atoms
SG: No. 139
N(E_F): 2.04 states/eV/f.u.

a b c (Å): 8.7101 8.7101 8.7101
angles (deg): 140.08 140.08 57.73
Fractional positions:
Na  0.0000  0.5000  0.5000
Na  0.1949  0.1949  0.0000
Na  0.5000  0.0000  0.5000
Na  0.8051  0.8051  0.0000
Hg  0.3982  0.3982  0.0000
Hg  0.6018  0.6018  0.0000
Sb  0.0000  0.0000  0.0000


Entry 5:
Compound: BaFeSi2
Source: Alexandria
Functional: GGA-PBE
Structure: relaxed

Summary:
crystal system: tetragonal
SG: No. 141
calculated total energy: -0.411 Ry per atom
N(E_F): 0.00 states/eV/f.u.

a b c (Å): 7.5937 7.5937 7.5937
angles (deg): 137.18 137.18 62.16
Fractional positions:
Ba  0.3750  0.6250  0.7500
Ba  0.6250  0.3750  0.2500
Fe  0.1250  0.8750  0.2500
Fe  0.8750  0.1250  0.7500
Si  0.0000  0.0000  0.0000
Si  0.0000  0.0000  0.5000
Si  0.0000  0.5000  0.0000
Si  0.5000  0.0000  0.5000


Entry 6:
Compound: LiNdMg14
Source: Alexandria
Functional: GGA-PBE
Structure: relaxed

Summary:
energy of formation: -0.015 eV/atom
crystal system: tetragonal
SG: No. 123
N(E_F): 5.83 states/eV/f.u.

a b c (Å): 6.8749 6.8749 8.0229
angles (deg): 90.00 90.00 90.00
Fractional positions:
Li  0.0000  0.0000  0.0000
Nd  0.5000  0.5000  0.0000
Mg  0.0000  0.0000  0.5000
Mg  0.0000  0.5000  0.0000
Mg  0.0000  0.5000  0.5000
Mg  0.2430  0.2430  0.2543
Mg  0.2430  0.2430  0.7457
Mg  0.2430  0.7570  0.2543
Mg  0.2430  0.7570  0.7457
Mg  0.5000  0.0000  0.0000
Mg  0.5000  0.0000  0.5000
Mg  0.5000  0.5000  0.5000
Mg  0.7570  0.2430  0.2543
Mg  0.7570  0.2430  0.7457
Mg  0.7570  0.7570  0.2543
Mg  0.7570  0.7570  0.7457


Entry 7:
Compound: BaTm2Pu
Source: Alexandria
Functional: GGA-PBE
Structure: relaxed

Summary:
energy of formation: 0.324 eV/atom
crystal system: trigonal
SG: No. 166
N(E_F): 10.78 states/eV/f.u.

a b c (Å): 12.7640 12.7640 12.7640
angles (deg): 15.90 15.90 15.90
Fractional positions:
Ba  0.0000  0.0000  0.0000
Tm  0.0950  0.0950  0.0950
Tm  0.9050  0.9050  0.9050
Pu  0.5000  0.5000  0.5000


Entry 8:
Compound: Ac4Tc2I5
Source: Alexandria
Functional: GGA-PBE
Structure: relaxed

Summary:
crystal system: orthorhombic
SG: No. 71
calculated total energy: -0.346 Ry per atom
N(E_F): 6.66 states/eV/f.u.

a b c (Å): 11.5218 11.5218 11.5218
angles (deg): 157.20 132.60 53.22
Fractional positions:
Ac  0.1787  0.1787  0.0000
Ac  0.2107  0.5000  0.7107
Ac  0.7893  0.5000  0.2893
Ac  0.8213  0.8213  0.0000
Tc  0.0565  0.0565  0.0000
Tc  0.9435  0.9435  0.0000
I  0.1083  0.3294  0.7789
I  0.4495  0.6706  0.7789
I  0.5000  0.0000  0.5000
I  0.5505  0.3294  0.2211
I  0.8917  0.6706  0.2211